A plane-wave DFT calculation with PBE-GGA was carried out for ScBeZn2 after structural relaxation.

Unit cell a=3.854 b=3.854 c=4.180 alpha=90.00 beta=90.00 gamma=90.00
Space group P4/mmm (No. 123)
One atom of each set of equivalent atoms:
Sc 0.000 0.000 0.000
Be 0.500 0.500 0.000
Zn 0.000 0.500 0.500

## Properties
Energy of formation from the pure elements, eV per atom: -0.06
Final energy, eV per atom: -3.215